# 1
NaTlSnPb: relaxed, PBE.

Values from the calculation:
As for the energy of formation: -95 meV/atom. As for the space group: F-43m, No. 216. The value obtained for the energy relative to the lowest polymorph listed for this composition is 0.00 eV/f.u.

Cell lengths 7.782, 7.782, 7.782 Å; angles 90.00, 90.00, 90.00 degrees
Sites, in units of the cell vectors:
Na: 0.000 0.000 0.000
Na: 0.000 0.500 0.500
Na: 0.500 0.000 0.500
Na: 0.500 0.500 0.000
Tl: 0.250 0.250 0.750
Tl: 0.250 0.750 0.250
Tl: 0.750 0.250 0.250
Tl: 0.750 0.750 0.750
Sn: 0.250 0.250 0.250
Sn: 0.250 0.750 0.750
Sn: 0.750 0.250 0.750
Sn: 0.750 0.750 0.250
Pb: 0.000 0.000 0.500
Pb: 0.000 0.500 0.000
Pb: 0.500 0.000 0.000
Pb: 0.500 0.500 0.500

# 2
Li3Pb2Br7: relaxed, PBE.

Values from the calculation:
As for the space group: Cmc2_1, No. 36. As for the formation energy (no corrections): -1.187 eV/atom.

Cell lengths 13.845, 13.845, 7.376 Å; angles 90.00, 90.00, 31.18 degrees
Sites, in units of the cell vectors:
Li: 0.092 0.483 0.471
Li: 0.220 0.780 0.500
Li: 0.483 0.092 0.971
Li: 0.517 0.908 0.471
Li: 0.780 0.220 0.000
Li: 0.908 0.517 0.971
Pb: 0.134 0.656 0.000
Pb: 0.344 0.866 0.000
Pb: 0.656 0.134 0.500
Pb: 0.866 0.344 0.500
Br: 0.046 0.257 0.158
Br: 0.095 0.905 0.838
Br: 0.164 0.418 0.109
Br: 0.257 0.046 0.658
Br: 0.327 0.528 0.358
Br: 0.418 0.164 0.609
Br: 0.472 0.673 0.358
Br: 0.528 0.327 0.858
Br: 0.582 0.836 0.109
Br: 0.673 0.472 0.858
Br: 0.743 0.954 0.158
Br: 0.836 0.582 0.609
Br: 0.905 0.095 0.338
Br: 0.954 0.743 0.658

# 3
YCu: relaxed, PBE.

Values from the calculation:
As for the energy of formation: -44 meV/atom. As for the space group: P-6m2, No. 187.

Cell lengths 3.812, 3.812, 3.741 Å; angles 90.00, 90.00, 120.00 degrees
Sites, in units of the cell vectors:
Y: 0.000 0.000 0.000
Cu: 0.667 0.333 0.500

# 4
LiNiGeSb2: relaxed, PBE.

Values from the calculation:
As for the space group: P4/mmm, No. 123. As for the formation energy (no corrections): 0.091 eV/atom.

Cell lengths 5.182, 5.182, 4.450 Å; angles 90.00, 90.00, 90.00 degrees
Sites, in units of the cell vectors:
Li: 0.000 0.000 0.000
Ni: 0.500 0.500 0.500
Ge: 0.500 0.500 0.000
Sb: 0.000 0.500 0.500
Sb: 0.500 0.000 0.500

# 5
Al2ReC2: relaxed, PBE.

Values from the calculation:
As for the energy of formation: 1418 meV/atom. As for the space group: P4/mbm, No. 127. The value obtained for the energy relative to the lowest polymorph listed for this composition is 2.50 eV/f.u.

Cell lengths 6.290, 6.290, 2.804 Å; angles 90.00, 90.00, 90.00 degrees
Sites, in units of the cell vectors:
Al: 0.137 0.363 0.000
Al: 0.363 0.863 0.000
Al: 0.637 0.137 0.000
Al: 0.863 0.637 0.000
Re: 0.000 0.000 0.000
Re: 0.500 0.500 0.000
C: 0.179 0.679 0.500
C: 0.321 0.179 0.500
C: 0.679 0.821 0.500
C: 0.821 0.321 0.500

# 6
Ba2NaMgCu: relaxed, PBE.

Values from the calculation:
As for the energy of formation: 120 meV/atom. As for the space group: P4/mmm, No. 123. The value obtained for the energy relative to the lowest polymorph listed for this composition is 0.53 eV/f.u.

Cell lengths 6.234, 6.234, 5.452 Å; angles 90.00, 90.00, 90.00 degrees
Sites, in units of the cell vectors:
Ba: 0.000 0.500 0.000
Ba: 0.500 0.000 0.000
Na: 0.000 0.000 0.500
Mg: 0.500 0.500 0.500
Cu: 0.000 0.000 0.000

# 7
Sr2YMo: relaxed, PBE.

Values from the calculation:
As for the energy of formation: 948 meV/atom. As for the space group: Cmmm, No. 65. The value obtained for the energy relative to the lowest polymorph listed for this composition is 1.72 eV/f.u.

Cell lengths 6.603, 11.023, 3.399 Å; angles 90.00, 90.00, 90.00 degrees
Sites, in units of the cell vectors:
Sr: 0.250 0.250 0.000
Sr: 0.250 0.750 0.000
Sr: 0.750 0.250 0.000
Sr: 0.750 0.750 0.000
Y: 0.000 0.000 0.500
Y: 0.500 0.500 0.500
Mo: 0.000 0.500 0.500
Mo: 0.500 0.000 0.500

# 8
SrMg2Pb: relaxed, PBE.

Values from the calculation:
As for the energy of formation: -193 meV/atom. As for the space group: P4/mmm, No. 123.

Cell lengths 4.805, 4.805, 5.028 Å; angles 90.00, 90.00, 90.00 degrees
Sites, in units of the cell vectors:
Sr: 0.000 0.000 0.000
Mg: 0.000 0.500 0.500
Mg: 0.500 0.000 0.500
Pb: 0.500 0.500 0.000

# 9
LiCa6In: relaxed, PBE.

Values from the calculation:
As for the energy of formation: -134 meV/atom. As for the space group: I4/mmm, No. 139.

Cell lengths 5.494, 5.494, 18.873 Å; angles 90.00, 90.00, 90.00 degrees
Sites, in units of the cell vectors:
Li: 0.000 0.000 0.000
Li: 0.500 0.500 0.500
Ca: 0.000 0.000 0.250
Ca: 0.000 0.000 0.750
Ca: 0.000 0.500 0.101
Ca: 0.000 0.500 0.399
Ca: 0.000 0.500 0.601
Ca: 0.000 0.500 0.899
Ca: 0.500 0.000 0.101
Ca: 0.500 0.000 0.399
Ca: 0.500 0.000 0.601
Ca: 0.500 0.000 0.899
Ca: 0.500 0.500 0.250
Ca: 0.500 0.500 0.750
In: 0.000 0.000 0.500
In: 0.500 0.500 0.000

# 10
PmCoGe2Ir: relaxed, PBE.

Values from the calculation:
As for the energy of formation: -679 meV/atom. As for the space group: I-4m2, No. 119.

Cell lengths 4.086, 4.086, 10.486 Å; angles 90.00, 90.00, 90.00 degrees
Sites, in units of the cell vectors:
Pm: 0.000 0.000 0.000
Pm: 0.500 0.500 0.500
Co: 0.000 0.500 0.250
Co: 0.500 0.000 0.750
Ge: 0.000 0.000 0.375
Ge: 0.000 0.000 0.625
Ge: 0.500 0.500 0.125
Ge: 0.500 0.500 0.875
Ir: 0.000 0.500 0.750
Ir: 0.500 0.000 0.250

# 11
Na2AgIr: relaxed, PBE.

Values from the calculation:
As for the energy of formation: 634 meV/atom. As for the space group: Fm-3m, No. 225. The value obtained for the energy relative to the lowest polymorph listed for this composition is 0.00 eV/f.u.

Cell lengths 6.741, 6.741, 6.741 Å; angles 90.00, 90.00, 90.00 degrees
Sites, in units of the cell vectors:
Na: 0.250 0.250 0.250
Na: 0.250 0.250 0.750
Na: 0.250 0.750 0.250
Na: 0.250 0.750 0.750
Na: 0.750 0.250 0.250
Na: 0.750 0.250 0.750
Na: 0.750 0.750 0.250
Na: 0.750 0.750 0.750
Ag: 0.000 0.000 0.000
Ag: 0.000 0.500 0.500
Ag: 0.500 0.000 0.500
Ag: 0.500 0.500 0.000
Ir: 0.000 0.000 0.500
Ir: 0.000 0.500 0.000
Ir: 0.500 0.000 0.000
Ir: 0.500 0.500 0.500

# 12
Nd3DyAg4: relaxed, PBE.

Values from the calculation:
As for the energy of formation: -274 meV/atom. As for the space group: P4/mmm, No. 123.

Cell lengths 3.708, 3.708, 15.041 Å; angles 90.00, 90.00, 90.00 degrees
Sites, in units of the cell vectors:
Nd: 0.000 0.000 0.000
Nd: 0.000 0.000 0.254
Nd: 0.000 0.000 0.746
Dy: 0.000 0.000 0.500
Ag: 0.500 0.500 0.126
Ag: 0.500 0.500 0.386
Ag: 0.500 0.500 0.614
Ag: 0.500 0.500 0.874